Entry 1:
A plane-wave DFT calculation with PBE was carried out for a geometry-optimized UNi2P2 structure.

Unit cell a=3.755 b=3.755 c=5.669 alpha=109.34 beta=109.34 gamma=90.00
Site moments in Bohr magnetons follow the coordinates.
Atoms (fractional coordinates):
Ni 0.250 0.750 0.500  0.01
Ni 0.750 0.250 0.500  0.01
P 0.621 0.621 0.242  -0.02
P 0.379 0.379 0.758  -0.02
U 0.000 0.000 0.000  1.77

Its energy of formation is -0.780 eV/atom. The space group is I4/mmm.

---

Entry 2:
A plane-wave DFT calculation with PBE was carried out for a geometry-optimized UNi6P2 structure.

Unit cell a=3.692 b=3.692 c=8.349 alpha=90.00 beta=90.00 gamma=90.00
Site moments in Bohr magnetons follow the coordinates.
Atoms (fractional coordinates):
Ni 0.000 0.000 0.500  0.26
Ni 0.000 0.500 0.297  0.16
Ni 0.500 0.000 0.297  0.16
Ni 0.000 0.500 0.703  0.16
Ni 0.500 0.000 0.703  0.16
Ni 0.500 0.500 0.500  0.32
P 0.500 0.500 0.145  -0.01
P 0.500 0.500 0.855  -0.01
U 0.000 0.000 0.000  1.75

Its energy of formation is -0.409 eV/atom. The space group is P4/mmm.

---

Entry 3:
A plane-wave DFT calculation with PBE was carried out for a geometry-optimized UNiP2 structure.

Unit cell a=3.797 b=3.793 c=13.320 alpha=90.00 beta=90.00 gamma=90.00
Site moments in Bohr magnetons follow the coordinates.
Atoms (fractional coordinates):
P 0.000 0.000 0.505  -0.04
P 0.000 0.500 0.731  -0.04
P 0.500 0.000 0.080  -0.02
P 0.500 0.000 0.910  -0.03
P 0.000 0.500 0.274  -0.03
P 0.500 0.500 0.506  -0.04
Ni 0.000 0.000 0.174  -0.09
Ni 0.000 0.000 0.823  -0.07
Ni 0.500 0.500 0.171  -0.07
U 0.000 0.500 0.988  1.52
U 0.500 0.000 0.355  1.23
U 0.500 0.000 0.657  1.22

Its energy of formation is -0.802 eV/atom. The space group is Pmm2.